[1]
Density functional theory data (GGA-PBE) for a relaxed AcCd10Hg2 crystal.

abc: 6.148 14.229 14.287
angles: 90.00 90.00 90.00
Space group Fmmm (No. 69)
Asymmetric unit:
Ac 0.000 0.000 0.000 [4 per cell]
Cd 0.000 0.108 0.392 [16 per cell]
Cd 0.000 0.177 0.178 [16 per cell]
Cd 0.250 0.000 0.250 [8 per cell]
Hg 0.250 0.250 0.000 [8 per cell]

magnetic moment: 0.0 μB per cell
final energy: -1.1854 eV/atom
V: 1249.9 Å³ per cell
formation energy: -0.12 eV per atom

[2]
Density functional theory data (GGA-PBE) for a relaxed V6OsRu2 crystal.

abc: 13.180 5.772 4.064
angles: 90.00 107.85 90.00
Space group C2/m (No. 12)
Asymmetric unit:
V 0.000 0.245 0.000 [4 per cell]
V 0.167 0.254 0.667 [8 per cell]
Os 0.000 0.500 0.500 [2 per cell]
Ru 0.167 0.000 0.167 [4 per cell]

magnetic moment: 0.0 μB per cell
final energy: -9.0635 eV/atom
V: 294.2 Å³ per cell
formation energy: 0.32 eV per atom

[3]
Density functional theory data (GGA-PBE) for a relaxed CaGdZn2 crystal.

abc: 7.266 7.266 7.266
angles: 90.00 90.00 90.00
Space group Fm-3m (No. 225)
Asymmetric unit:
Ca 0.000 0.000 0.000 [4 per cell]
Gd 0.000 0.000 0.500 [4 per cell]
Zn 0.250 0.250 0.250 [8 per cell]

magnetic moment: 29.0 μB per cell
final energy: -4.9490 eV/atom
V: 383.6 Å³ per cell
formation energy: -0.29 eV per atom

[4]
Density functional theory data (GGA-PBE) for a relaxed Ac2PrGa crystal.

abc: 3.9688 3.9688 32.9342
angles: 90.00 90.00 120.00
Space group R3m (No. 160, hexagonal axes)
Asymmetric unit:
Ac 0.0000 0.0000 0.0000 [3 per cell]
Ac 0.0000 0.0000 0.1914 [3 per cell]
Pr 0.0000 0.0000 0.7623 [3 per cell]
Ga 0.0000 0.0000 0.5958 [3 per cell]

magnetic moment: 0.0 μB per cell
final energy: -4.1009 eV/atom
V: 449.2 Å³ per cell
formation energy: -0.10 eV per atom
energy above the lowest structure with this stoichiometry: 0.41 eV/f.u.

[5]
Density functional theory data (GGA-PBE) for a relaxed Li3NbPb crystal.

abc: 4.964 4.964 4.964
angles: 90.00 90.00 90.00
Space group Pm-3m (No. 221)
Asymmetric unit:
Li 0.000 0.000 0.500 [3 per cell]
Nb 0.500 0.500 0.500 [1 per cell]
Pb 0.000 0.000 0.000 [1 per cell]

magnetic moment: 3.8 μB per cell
final energy: -3.0636 eV/atom
V: 122.3 Å³ per cell
formation energy: 0.84 eV per atom
energy above the lowest structure with this stoichiometry: 0.00 eV/f.u.

[6]
Density functional theory data (GGA-PBE) for a relaxed MnAl3Ga crystal.

abc: 4.602 4.602 4.602
angles: 90.00 90.00 90.00
Space group Pm-3m (No. 221)
Asymmetric unit:
Mn 0.000 0.000 0.000 [1 per cell]
Al 0.000 0.000 0.500 [3 per cell]
Ga 0.500 0.500 0.500 [1 per cell]

magnetic moment: 0.0 μB per cell
final energy: -4.4279 eV/atom
V: 97.5 Å³ per cell
formation energy: 0.26 eV per atom
energy above the lowest structure with this stoichiometry: 1.95 eV/f.u.

[7]
Density functional theory data (GGA-PBE) for a relaxed BaPuZnN3 crystal.

abc: 7.641 3.582 7.815
angles: 90.00 106.22 90.00
Space group P2_1/m (No. 11)
Asymmetric unit:
Ba 0.210 0.250 0.237 [2 per cell]
Pu 0.332 0.750 0.846 [2 per cell]
Zn 0.086 0.250 0.604 [2 per cell]
N 0.153 0.250 0.869 [2 per cell]
N 0.196 0.750 0.542 [2 per cell]
N 0.466 0.750 0.130 [2 per cell]

magnetic moment: 6.0 μB per cell
final energy: -7.7119 eV/atom
V: 205.3 Å³ per cell

[8]
Density functional theory data (GGA-PBE) for a relaxed LaIn3Au3 crystal.

abc: 8.8813 8.8813 4.9472
angles: 90.00 90.00 120.00
Space group P6_3/m (No. 176)
Asymmetric unit:
La 0.3333 0.6667 0.2500 [2 per cell]
In 0.0273 0.2515 0.7500 [6 per cell]
Au 0.0792 0.6063 0.7500 [6 per cell]

magnetic moment: 0.0 μB per cell
final energy: -3.7104 eV/atom
V: 337.9 Å³ per cell
formation energy: -0.43 eV per atom
energy above the lowest structure with this stoichiometry: 0.00 eV/f.u.

[9]
Density functional theory data (GGA-PBE) for a relaxed LiZr2Os crystal.

abc: 6.603 6.603 6.603
angles: 90.00 90.00 90.00
Space group Fm-3m (No. 225)
Asymmetric unit:
Li 0.000 0.000 0.000 [4 per cell]
Zr 0.250 0.250 0.250 [8 per cell]
Os 0.000 0.000 0.500 [4 per cell]

magnetic moment: 0.0 μB per cell
final energy: -7.8782 eV/atom
V: 287.9 Å³ per cell
formation energy: -0.32 eV per atom
energy above the lowest structure with this stoichiometry: 0.00 eV/f.u.

[10]
Density functional theory data (GGA-PBE) for a relaxed AlGa2Ag8 crystal.

abc: 14.742 4.134 6.485
angles: 90.00 105.01 90.00
Space group C2/m (No. 12)
Asymmetric unit:
Al 0.000 0.000 0.000 [2 per cell]
Ga 0.223 0.500 0.642 [4 per cell]
Ag 0.046 0.500 0.734 [4 per cell]
Ag 0.093 0.000 0.450 [4 per cell]
Ag 0.139 0.500 0.191 [4 per cell]
Ag 0.179 0.000 0.916 [4 per cell]

magnetic moment: 0.0 μB per cell
final energy: -2.9816 eV/atom
V: 381.8 Å³ per cell
formation energy: -0.02 eV per atom
energy above the lowest structure with this stoichiometry: 0.00 eV/f.u.

[11]
Density functional theory data (GGA-PBE) for a relaxed Tm3ThHg6 crystal.

abc: 9.170 5.137 11.179
angles: 90.00 107.29 90.00
Space group P2_1/m (No. 11)
Asymmetric unit:
Tm 0.013 0.250 0.389 [2 per cell]
Tm 0.150 0.750 0.192 [2 per cell]
Tm 0.266 0.250 0.997 [2 per cell]
Th 0.431 0.250 0.616 [2 per cell]
Hg 0.035 0.750 0.904 [2 per cell]
Hg 0.136 0.250 0.711 [2 per cell]
Hg 0.242 0.750 0.476 [2 per cell]
Hg 0.326 0.250 0.306 [2 per cell]
Hg 0.354 0.750 0.793 [2 per cell]
Hg 0.438 0.750 0.087 [2 per cell]

magnetic moment: 0.0 μB per cell
final energy: -2.6169 eV/atom
V: 502.8 Å³ per cell
formation energy: -0.35 eV per atom

[12]
Density functional theory data (GGA-PBE) for a relaxed ThZn2Si2 crystal.

abc: 4.060 4.060 11.133
angles: 90.00 90.00 90.00
Space group I4/mmm (No. 139)
Asymmetric unit:
Th 0.000 0.000 0.000 [2 per cell]
Zn 0.000 0.500 0.250 [4 per cell]
Si 0.000 0.000 0.390 [4 per cell]

magnetic moment: 0.0 μB per cell
final energy: -4.5256 eV/atom
V: 183.5 Å³ per cell

Which formula does entry 2 have?
V6OsRu2

Which of these has the highest final energy?
AcCd10Hg2